No. 1
Material: La2PmNd6Sm3
Method: DFT, PBE
State: relaxed

Calculated values
- E: -4.765 eV/atom
- Fermi-level density of states: 1.704 states/eV per atom

Lattice parameters (Å, degrees): 6.378 6.378 12.201 95.04 95.04 120.02
Element x y z (fractional)
La  0.167  0.833  0.000
La  0.833  0.167  0.000
Pm  0.500  0.500  0.000
Nd  0.083  0.415  0.747
Nd  0.252  0.252  0.253
Nd  0.415  0.083  0.747
Nd  0.585  0.917  0.253
Nd  0.748  0.748  0.747
Nd  0.917  0.585  0.253
Sm  0.000  0.000  0.500
Sm  0.334  0.666  0.500
Sm  0.666  0.334  0.500

No. 2
Material: Pm12CdPd6
Method: DFT, PBE
State: relaxed

Calculated values
- ΔE to the lowest computed polymorph: 106.3 meV/atom
- Fermi-level density of states: 0.954 states/eV per atom

Lattice parameters (Å, degrees): 8.917 8.917 8.917 108.89 108.89 108.89
Element x y z (fractional)
Pm  0.054  0.353  0.116
Pm  0.116  0.054  0.353
Pm  0.176  0.468  0.642
Pm  0.353  0.116  0.054
Pm  0.358  0.824  0.532
Pm  0.468  0.642  0.176
Pm  0.532  0.358  0.824
Pm  0.642  0.176  0.468
Pm  0.647  0.884  0.946
Pm  0.824  0.532  0.358
Pm  0.884  0.946  0.647
Pm  0.946  0.647  0.884
Cd  0.500  0.500  0.500
Pd  0.147  0.791  0.717
Pd  0.209  0.283  0.853
Pd  0.283  0.853  0.209
Pd  0.717  0.147  0.791
Pd  0.791  0.717  0.147
Pd  0.853  0.209  0.283

No. 3
Material: BeAg3
Method: DFT, PBE
State: relaxed

Calculated values
- E: -2.838 eV/atom
- Fermi-level density of states: 0.287 states/eV per atom

Lattice parameters (Å, degrees): 4.009 4.009 7.888 90.00 90.00 90.00
Element x y z (fractional)
Be  0.000  0.000  0.000
Be  0.500  0.500  0.500
Ag  0.000  0.000  0.500
Ag  0.000  0.500  0.250
Ag  0.000  0.500  0.750
Ag  0.500  0.000  0.250
Ag  0.500  0.000  0.750
Ag  0.500  0.500  0.000

No. 4
Material: LaHfF2
Method: DFT, PBE
State: relaxed

Calculated values
- Raw formation energy: -733 kJ/mol of formula units
- ΔE to the lowest computed polymorph: 189.2 meV/atom
- Fermi-level density of states: 1.058 states/eV per atom

Lattice parameters (Å, degrees): 4.798 4.798 13.817 90.00 90.00 90.00
Element x y z (fractional)
La  0.000  0.000  0.000
La  0.000  0.500  0.250
La  0.500  0.000  0.750
La  0.500  0.500  0.500
Hf  0.000  0.000  0.500
Hf  0.000  0.500  0.750
Hf  0.500  0.000  0.250
Hf  0.500  0.500  0.000
F  0.081  0.250  0.625
F  0.250  0.581  0.875
F  0.250  0.919  0.375
F  0.419  0.250  0.125
F  0.581  0.750  0.125
F  0.750  0.081  0.375
F  0.750  0.419  0.875
F  0.919  0.750  0.625

No. 5
Material: NdTm2AlAu4
Method: DFT, PBE
State: relaxed

Calculated values
- E: -4.566 eV/atom
- Fermi-level density of states: 0.469 states/eV per atom

Lattice parameters (Å, degrees): 8.991 8.991 8.991 31.58 31.58 31.58
Element x y z (fractional)
Nd  0.000  0.000  0.000
Tm  0.240  0.240  0.240
Tm  0.760  0.760  0.760
Al  0.500  0.500  0.500
Au  0.123  0.123  0.123
Au  0.393  0.393  0.393
Au  0.607  0.607  0.607
Au  0.877  0.877  0.877

No. 6
Material: BeNiTe2N
Method: DFT, PBE
State: relaxed

Calculated values
- Raw formation energy: 345 kJ/mol of formula units
- ΔE to the lowest computed polymorph: 248.4 meV/atom
- Fermi-level density of states: 0.628 states/eV per atom

Lattice parameters (Å, degrees): 5.287 5.287 3.397 90.00 90.00 90.00
Element x y z (fractional)
Be  0.000  0.000  0.000
Ni  0.500  0.500  0.500
Te  0.000  0.500  0.500
Te  0.500  0.000  0.500
N  0.500  0.500  0.000

No. 7
Material: SrCr2Br
Method: DFT, PBE
State: relaxed

Calculated values
- Raw formation energy: 279 kJ/mol of formula units
- ΔE to the lowest computed polymorph: 666.8 meV/atom
- Fermi-level density of states: 0.935 states/eV per atom

Lattice parameters (Å, degrees): 4.636 4.636 19.305 90.00 90.00 90.00
Element x y z (fractional)
Sr  0.000  0.250  0.375
Sr  0.000  0.750  0.625
Sr  0.500  0.250  0.125
Sr  0.500  0.750  0.875
Cr  0.000  0.000  0.000
Cr  0.000  0.500  0.000
Cr  0.250  0.250  0.750
Cr  0.250  0.750  0.250
Cr  0.500  0.000  0.500
Cr  0.500  0.500  0.500
Cr  0.750  0.250  0.750
Cr  0.750  0.750  0.250
Br  0.000  0.250  0.875
Br  0.000  0.750  0.125
Br  0.500  0.250  0.625
Br  0.500  0.750  0.375

No. 8
Material: Li3Pu3CuS8
Method: DFT, PBE
State: relaxed

Calculated values
- Raw formation energy: -1775 kJ/mol of formula units
- Fermi-level density of states: 1.590 states/eV per atom

Lattice parameters (Å, degrees): 7.533 7.533 7.533 61.29 61.29 61.29
Element x y z (fractional)
Li  0.000  0.500  0.500
Li  0.500  0.000  0.500
Li  0.500  0.500  0.000
Pu  0.000  0.000  0.500
Pu  0.000  0.500  0.000
Pu  0.500  0.000  0.000
Cu  0.500  0.500  0.500
S  0.252  0.252  0.252
S  0.257  0.740  0.740
S  0.260  0.260  0.743
S  0.260  0.743  0.260
S  0.740  0.257  0.740
S  0.740  0.740  0.257
S  0.743  0.260  0.260
S  0.748  0.748  0.748

No. 9
Material: Tc2HgPRu
Method: DFT, PBE
State: relaxed

Calculated values
- E: -6.691 eV/atom
- Fermi-level density of states: 0.777 states/eV per atom

Lattice parameters (Å, degrees): 4.427 4.427 4.384 90.00 90.00 90.00
Element x y z (fractional)
Tc  0.000  0.500  0.000
Tc  0.500  0.000  0.000
Hg  0.000  0.000  0.500
P  0.500  0.500  0.000
Ru  0.500  0.500  0.500

No. 10
Material: Tb5Pm4Al
Method: DFT, PBE
State: relaxed

Calculated values
- ΔE to the lowest computed polymorph: 0.0 meV/atom
- Fermi-level density of states: 1.275 states/eV per atom

Lattice parameters (Å, degrees): 3.596 3.596 24.277 90.00 90.00 90.00
Element x y z (fractional)
Tb  0.000  0.000  0.000
Tb  0.000  0.000  0.211
Tb  0.000  0.000  0.424
Tb  0.000  0.000  0.576
Tb  0.000  0.000  0.789
Pm  0.500  0.500  0.105
Pm  0.500  0.500  0.316
Pm  0.500  0.500  0.684
Pm  0.500  0.500  0.895
Al  0.500  0.500  0.500

No. 11
Material: TbDy4Ag2
Method: DFT, PBE
State: relaxed

Calculated values
- E: -3.929 eV/atom
- Fermi-level density of states: 1.722 states/eV per atom

Lattice parameters (Å, degrees): 10.377 10.377 10.377 27.94 27.94 27.94
Element x y z (fractional)
Tb  0.000  0.000  0.000
Dy  0.203  0.203  0.203
Dy  0.395  0.395  0.395
Dy  0.605  0.605  0.605
Dy  0.797  0.797  0.797
Ag  0.101  0.101  0.101
Ag  0.899  0.899  0.899

No. 12
Material: Ca8PbAu2
Method: DFT, PBE
State: relaxed

Calculated values
- E: -2.836 eV/atom
- Fermi-level density of states: 0.653 states/eV per atom

Lattice parameters (Å, degrees): 8.391 8.391 5.709 98.03 98.03 112.05
Element x y z (fractional)
Ca  0.000  0.000  0.000
Ca  0.050  0.312  0.610
Ca  0.137  0.619  0.194
Ca  0.312  0.050  0.610
Ca  0.443  0.705  0.779
Ca  0.619  0.137  0.194
Ca  0.705  0.443  0.779
Ca  0.755  0.755  0.389
Pb  0.377  0.377  0.195
Au  0.061  0.694  0.694
Au  0.694  0.061  0.694

No. 13
Material: HfNpSnPt
Method: DFT, PBE
State: relaxed

Calculated values
- E: -8.151 eV/atom
- Fermi-level density of states: 2.702 states/eV per atom

Lattice parameters (Å, degrees): 7.014 7.014 7.014 90.00 90.00 90.00
Element x y z (fractional)
Hf  0.000  0.000  0.000
Hf  0.000  0.500  0.500
Hf  0.500  0.000  0.500
Hf  0.500  0.500  0.000
Np  0.250  0.250  0.750
Np  0.250  0.750  0.250
Np  0.750  0.250  0.250
Np  0.750  0.750  0.750
Sn  0.000  0.000  0.500
Sn  0.000  0.500  0.000
Sn  0.500  0.000  0.000
Sn  0.500  0.500  0.500
Pt  0.250  0.250  0.250
Pt  0.250  0.750  0.750
Pt  0.750  0.250  0.750
Pt  0.750  0.750  0.250

No. 14
Material: YZn2
Method: DFT, PBE
State: relaxed

Calculated values
- E: -3.225 eV/atom
- Fermi-level density of states: 0.572 states/eV per atom

Lattice parameters (Å, degrees): 10.799 4.914 4.522 90.00 90.00 90.00
Element x y z (fractional)
Y  0.000  0.238  0.250
Y  0.000  0.762  0.750
Y  0.500  0.262  0.750
Y  0.500  0.738  0.250
Zn  0.193  0.327  0.750
Zn  0.193  0.673  0.250
Zn  0.307  0.173  0.250
Zn  0.307  0.827  0.750
Zn  0.693  0.173  0.250
Zn  0.693  0.827  0.750
Zn  0.807  0.327  0.750
Zn  0.807  0.673  0.250

No. 15
Material: Hg2Pd2Rh
Method: DFT, PBE
State: relaxed

Calculated values
- ΔE to the lowest computed polymorph: 599.6 meV/atom
- Fermi-level density of states: 1.003 states/eV per atom

Lattice parameters (Å, degrees): 4.903 4.903 5.178 90.00 90.00 90.00
Element x y z (fractional)
Hg  0.000  0.000  0.000
Hg  0.500  0.500  0.000
Pd  0.000  0.500  0.500
Pd  0.500  0.000  0.500
Rh  0.000  0.000  0.500

No. 16
Material: Dy4CuNi2
Method: DFT, PBE
State: relaxed

Calculated values
- E: -5.110 eV/atom
- Fermi-level density of states: 0.801 states/eV per atom

Lattice parameters (Å, degrees): 6.968 7.426 7.428 107.53 107.37 107.32
Element x y z (fractional)
Dy  0.000  0.000  0.000
Dy  0.001  0.057  0.541
Dy  0.085  0.569  0.701
Dy  0.329  0.536  0.158
Dy  0.500  0.926  0.669
Dy  0.501  0.387  0.613
Dy  0.586  0.087  0.182
Dy  0.830  0.546  0.151
Cu  0.240  0.905  0.295
Cu  0.740  0.683  0.519
Ni  0.060  0.335  0.328
Ni  0.386  0.227  0.896
Ni  0.559  0.713  0.947
Ni  0.883  0.282  0.840

No. 17
Material: BaAl2
Method: DFT, PBE
State: relaxed

Calculated values
- E: -3.119 eV/atom
- Fermi-level density of states: 0.514 states/eV per atom

Lattice parameters (Å, degrees): 5.494 5.494 11.620 90.00 90.00 90.00
Element x y z (fractional)
Ba  0.000  0.000  0.250
Ba  0.000  0.000  0.750
Ba  0.500  0.500  0.250
Ba  0.500  0.500  0.750
Al  0.175  0.325  0.000
Al  0.175  0.675  0.500
Al  0.325  0.175  0.500
Al  0.325  0.825  0.000
Al  0.675  0.175  0.000
Al  0.675  0.825  0.500
Al  0.825  0.325  0.500
Al  0.825  0.675  0.000